# 1
The following is a DFT calculation (PBE) of an optimized crystal structure of Pr3TaCl3O6.

Unit cell a=9.556 b=9.556 c=5.351 alpha=90.00 beta=90.00 gamma=120.00
Fractional positions:
Pr: 0.090 0.403 0.250
Pr: 0.313 0.910 0.250
Pr: 0.403 0.313 0.750
Pr: 0.597 0.687 0.250
Pr: 0.687 0.090 0.750
Pr: 0.910 0.597 0.750
Ta: 0.333 0.667 0.750
Ta: 0.667 0.333 0.250
Cl: 0.051 0.241 0.750
Cl: 0.190 0.949 0.750
Cl: 0.241 0.190 0.250
Cl: 0.759 0.810 0.750
Cl: 0.810 0.051 0.250
Cl: 0.949 0.759 0.250
O: 0.158 0.636 0.513
O: 0.158 0.636 0.987
O: 0.364 0.522 0.513
O: 0.364 0.522 0.987
O: 0.478 0.842 0.513
O: 0.478 0.842 0.987
O: 0.522 0.158 0.013
O: 0.522 0.158 0.487
O: 0.636 0.478 0.013
O: 0.636 0.478 0.487
O: 0.842 0.364 0.013
O: 0.842 0.364 0.487

Computed properties:
The calculation puts the final energy at -0.27742 Ha/atom. For the theoretical density, the calculation gives 6.33 g cm⁻³.

# 2
The following is a DFT calculation (PBE) of an optimized crystal structure of Cd2AsP.

Unit cell a=6.262 b=6.262 c=11.058 alpha=90.00 beta=90.00 gamma=90.00
Fractional positions:
Cd: 0.233 0.250 0.125
Cd: 0.250 0.733 0.375
Cd: 0.250 0.767 0.875
Cd: 0.267 0.250 0.625
Cd: 0.733 0.750 0.625
Cd: 0.750 0.233 0.875
Cd: 0.750 0.267 0.375
Cd: 0.767 0.750 0.125
As: 0.000 0.000 0.500
As: 0.000 0.500 0.750
As: 0.500 0.000 0.250
As: 0.500 0.500 0.000
P: 0.000 0.000 0.000
P: 0.000 0.500 0.250
P: 0.500 0.000 0.750
P: 0.500 0.500 0.500

Computed properties:
As for the calculated formation energy: 244 meV per atom. As for the distance to the lowest polymorph of the same formula: 0.166 eV/atom. For the theoretical density, the calculation gives 5.07 g cm⁻³.

# 3
The following is a DFT calculation (PBE) of an optimized crystal structure of OsI2Br5.

Unit cell a=5.852 b=7.832 c=8.345 alpha=85.16 beta=69.48 gamma=76.21
Fractional positions:
Os: 0.000 0.000 0.000
I: 0.096 0.510 0.532
I: 0.628 0.509 0.468
Br: 0.220 0.009 0.693
Br: 0.250 0.697 0.000
Br: 0.644 0.906 0.000
Br: 0.850 0.315 0.000
Br: 0.914 0.009 0.307

Computed properties:
The calculation puts the final energy at -0.10365 Ha/atom. For the theoretical density, the calculation gives 4.03 g cm⁻³.

# 4
The following is a DFT calculation (PBE) of an optimized crystal structure of PrPuU2P4.

Unit cell a=6.938 b=3.985 c=6.995 alpha=90.00 beta=109.13 gamma=90.00
Fractional positions:
Pr: 0.000 0.000 0.000
Pu: 0.500 0.500 0.000
U: 0.000 0.500 0.500
U: 0.500 0.000 0.500
P: 0.253 0.000 0.739
P: 0.261 0.500 0.267
P: 0.739 0.500 0.733
P: 0.747 0.000 0.261

Computed properties:
As for the calculated formation energy: -1127 meV per atom. For the theoretical density, the calculation gives 8.95 g cm⁻³.

# 5
The following is a DFT calculation (PBE) of an optimized crystal structure of InPt3I.

Unit cell a=5.016 b=5.016 c=5.016 alpha=90.00 beta=90.00 gamma=90.00
Fractional positions:
In: 0.000 0.000 0.000
Pt: 0.000 0.000 0.500
Pt: 0.000 0.500 0.000
Pt: 0.500 0.000 0.000
I: 0.500 0.500 0.500

Computed properties:
As for the distance to the lowest polymorph of the same formula: 0.152 eV/atom. For the theoretical density, the calculation gives 10.88 g cm⁻³.

# 6
The following is a DFT calculation (PBE) of an optimized crystal structure of Rb3AlV.

Unit cell a=6.883 b=6.883 c=6.883 alpha=90.00 beta=90.00 gamma=90.00
Fractional positions:
Rb: 0.000 0.000 0.500
Rb: 0.000 0.500 0.000
Rb: 0.500 0.000 0.000
Al: 0.000 0.000 0.000
V: 0.500 0.500 0.500

Computed properties:
As for the calculated formation energy: 1178 meV per atom. As for the distance to the lowest polymorph of the same formula: 0.000 eV/atom. For the theoretical density, the calculation gives 1.70 g cm⁻³.